## KCu2Si2 (GGA-PBE)

Data for KCu2Si2 after structural relaxation.

Calculated values
**D(E_F)**: 1.72 states/eV/f.u.
**Space group**: P4/mbm, No. 127
**Formation energy without anion corrections**: 0.219 eV per atom

Cell lengths 8.029, 8.029, 2.596 Å; angles 90.00, 90.00, 90.00 degrees
Sites, in units of the cell vectors:
K: 0.000 0.000 0.000
K: 0.500 0.500 0.000
Cu: 0.143 0.357 0.500
Cu: 0.357 0.857 0.500
Cu: 0.643 0.143 0.500
Cu: 0.857 0.643 0.500
Si: 0.136 0.636 0.000
Si: 0.364 0.136 0.000
Si: 0.636 0.864 0.000
Si: 0.864 0.364 0.000



## K2CuSi (GGA-PBE)

Data for K2CuSi after structural relaxation.

Calculated values
**D(E_F)**: 1.35 states/eV/f.u.
**Space group**: P4/mmm, No. 123
**Formation energy without anion corrections**: 0.563 eV per atom

Cell lengths 6.357, 6.357, 2.847 Å; angles 90.00, 90.00, 90.00 degrees
Sites, in units of the cell vectors:
K: 0.000 0.500 0.000
K: 0.500 0.000 0.000
Cu: 0.000 0.000 0.500
Si: 0.500 0.500 0.500



## KCu2Si (GGA-PBE)

Data for KCu2Si after structural relaxation.

Calculated values
**D(E_F)**: 1.74 states/eV/f.u.
**Space group**: Pm, No. 6
**Formation energy without anion corrections**: 0.223 eV per atom

Cell lengths 2.918, 4.078, 6.973 Å; angles 90.00, 101.47, 90.00 degrees
Sites, in units of the cell vectors:
K: 0.000 0.000 0.000
Cu: 0.291 0.500 0.609
Cu: 0.742 0.000 0.511
Si: 0.659 0.500 0.333



## KCuSi2 (GGA-PBE)

Data for KCuSi2 after structural relaxation.

Calculated values
**D(E_F)**: 0.97 states/eV/f.u.
**Space group**: Pmm2, No. 25
**Formation energy without anion corrections**: 0.163 eV per atom

Cell lengths 3.621, 3.757, 6.788 Å; angles 90.00, 90.00, 90.00 degrees
Sites, in units of the cell vectors:
K: 0.000 0.000 0.000
Cu: 0.500 0.000 0.532
Si: 0.000 0.500 0.550
Si: 0.500 0.500 0.316



## K2CuSi2 (GGA-PBE)

Data for K2CuSi2 after structural relaxation.

Calculated values
**D(E_F)**: 3.49 states/eV/f.u.
**Space group**: P4/mbm, No. 127
**Formation energy without anion corrections**: 0.563 eV per atom

Cell lengths 9.813, 9.813, 2.941 Å; angles 90.00, 90.00, 90.00 degrees
Sites, in units of the cell vectors:
K: 0.210 0.290 0.000
K: 0.290 0.790 0.000
K: 0.710 0.210 0.000
K: 0.790 0.710 0.000
Cu: 0.000 0.000 0.500
Cu: 0.500 0.500 0.500
Si: 0.081 0.581 0.500
Si: 0.419 0.081 0.500
Si: 0.581 0.919 0.500
Si: 0.919 0.419 0.500



## KCuSi2 (GGA-PBE)

Data for KCuSi2 after structural relaxation.

Calculated values
**D(E_F)**: 0.05 states/eV/f.u.
**Space group**: Fm-3m, No. 225
**Formation energy without anion corrections**: 0.772 eV per atom

Cell lengths 4.737, 4.737, 4.737 Å; angles 60.00, 60.00, 60.00 degrees
Sites, in units of the cell vectors:
K: 0.000 0.000 0.000
Cu: 0.500 0.500 0.500
Si: 0.250 0.250 0.250
Si: 0.750 0.750 0.750



## K2CuSi (GGA-PBE)

Data for K2CuSi after structural relaxation.

Calculated values
**D(E_F)**: 3.20 states/eV/f.u.
**Space group**: Immm, No. 71
**Formation energy without anion corrections**: 0.616 eV per atom

Cell lengths 6.151, 6.151, 6.151 Å; angles 138.93, 136.39, 61.45 degrees
Sites, in units of the cell vectors:
K: 0.245 0.245 0.000
K: 0.755 0.755 0.000
Cu: 0.000 0.500 0.500
Si: 0.500 0.000 0.500



## KCu2Si (GGA-PBE)

Data for KCu2Si after structural relaxation.

Calculated values
**D(E_F)**: 4.08 states/eV/f.u.
**Space group**: I4_1/amd, No. 141
**Formation energy without anion corrections**: 0.191 eV per atom

Cell lengths 8.437, 8.437, 8.437 Å; angles 144.84, 144.84, 50.58 degrees
Sites, in units of the cell vectors:
K: 0.375 0.625 0.750
K: 0.625 0.375 0.250
Cu: 0.000 0.000 0.000
Cu: 0.000 0.000 0.500
Cu: 0.000 0.500 0.000
Cu: 0.500 0.000 0.500
Si: 0.125 0.875 0.250
Si: 0.875 0.125 0.750



## KCu2Si (GGA-PBE)

Data for KCu2Si after structural relaxation.

Calculated values
**D(E_F)**: 1.15 states/eV/f.u.
**Space group**: Pmmn, No. 59
**Formation energy without anion corrections**: -0.050 eV per atom

Cell lengths 4.210, 6.628, 6.291 Å; angles 90.00, 90.00, 90.00 degrees
Sites, in units of the cell vectors:
K: 0.250 0.250 0.093
K: 0.750 0.750 0.907
Cu: 0.250 0.067 0.577
Cu: 0.250 0.433 0.577
Cu: 0.750 0.567 0.423
Cu: 0.750 0.933 0.423
Si: 0.250 0.750 0.400
Si: 0.750 0.250 0.600



## KCuSi2 (GGA-PBE)

Data for KCuSi2 after structural relaxation.

Calculated values
**D(E_F)**: 1.59 states/eV/f.u.
**Space group**: Immm, No. 71
**Formation energy without anion corrections**: 0.381 eV per atom

Cell lengths 5.994, 5.994, 5.994 Å; angles 154.12, 121.26, 65.25 degrees
Sites, in units of the cell vectors:
K: 0.000 0.000 0.000
Cu: 0.500 0.500 0.000
Si: 0.298 0.798 0.500
Si: 0.702 0.202 0.500



## KCuSi2 (GGA-PBE)

Data for KCuSi2 after structural relaxation.

Calculated values
**D(E_F)**: 0.72 states/eV/f.u.
**Space group**: P2/m, No. 10
**Formation energy without anion corrections**: 0.150 eV per atom

Cell lengths 3.146, 4.073, 6.952 Å; angles 90.00, 101.44, 90.00 degrees
Sites, in units of the cell vectors:
K: 0.000 0.000 0.000
Cu: 0.500 0.000 0.500
Si: 0.319 0.500 0.644
Si: 0.681 0.500 0.356



## K2CuSi (GGA-PBE)

Data for K2CuSi after structural relaxation.

Calculated values
**D(E_F)**: 3.39 states/eV/f.u.
**Space group**: Cm, No. 8
**Formation energy without anion corrections**: 0.125 eV per atom

Cell lengths 4.162, 4.162, 9.738 Å; angles 101.93, 101.93, 59.44 degrees
Sites, in units of the cell vectors:
K: 0.000 0.000 0.000
K: 0.165 0.165 0.518
Cu: 0.748 0.748 0.259
Si: 0.416 0.416 0.259



## K2CuSi (GGA-PBE)

Data for K2CuSi after structural relaxation.

Calculated values
**D(E_F)**: 3.26 states/eV/f.u.
**Space group**: P4/mmm, No. 123
**Formation energy without anion corrections**: 0.623 eV per atom

Cell lengths 4.434, 4.434, 5.324 Å; angles 90.00, 90.00, 90.00 degrees
Sites, in units of the cell vectors:
K: 0.000 0.500 0.000
K: 0.500 0.000 0.000
Cu: 0.000 0.000 0.500
Si: 0.500 0.500 0.500



## KCu2Si (GGA-PBE)

Data for KCu2Si after structural relaxation.

Calculated values
**D(E_F)**: 2.11 states/eV/f.u.
**Space group**: I-4m2, No. 119
**Formation energy without anion corrections**: 0.757 eV per atom

Cell lengths 5.040, 5.040, 5.040 Å; angles 129.52, 129.52, 74.18 degrees
Sites, in units of the cell vectors:
K: 0.000 0.000 0.000
Cu: 0.500 0.500 0.000
Cu: 0.750 0.250 0.500
Si: 0.250 0.750 0.500



## KCuSi2 (GGA-PBE)

Data for KCuSi2 after structural relaxation.

Calculated values
**D(E_F)**: 0.46 states/eV/f.u.
**Space group**: Imm2, No. 44
**Formation energy without anion corrections**: 0.408 eV per atom

Cell lengths 5.702, 5.702, 5.702 Å; angles 140.30, 107.52, 85.96 degrees
Sites, in units of the cell vectors:
K: 0.000 0.000 0.000
Cu: 0.636 0.136 0.500
Si: 0.335 0.835 0.500
Si: 0.498 0.498 0.000



## KCu2Si (GGA-PBE)

Data for KCu2Si after structural relaxation.

Calculated values
**D(E_F)**: 1.36 states/eV/f.u.
**Space group**: Cmmm, No. 65
**Formation energy without anion corrections**: 0.660 eV per atom

Cell lengths 4.971, 4.971, 2.884 Å; angles 90.00, 90.00, 90.18 degrees
Sites, in units of the cell vectors:
K: 0.000 0.000 0.000
Cu: 0.000 0.500 0.500
Cu: 0.500 0.000 0.500
Si: 0.500 0.500 0.000



## KCu2Si (GGA-PBE)

Data for KCu2Si after structural relaxation.

Calculated values
**D(E_F)**: 1.47 states/eV/f.u.
**Space group**: Imm2, No. 44
**Formation energy without anion corrections**: 0.418 eV per atom

Cell lengths 5.993, 5.993, 5.993 Å; angles 153.96, 126.25, 60.67 degrees
Sites, in units of the cell vectors:
K: 0.000 0.000 0.000
Cu: 0.481 0.481 0.000
Cu: 0.687 0.187 0.500
Si: 0.288 0.788 0.500



## K2CuSi (GGA-PBE)

Data for K2CuSi after structural relaxation.

Calculated values
**D(E_F)**: 3.32 states/eV/f.u.
**Space group**: Imm2, No. 44
**Formation energy without anion corrections**: 0.131 eV per atom

Cell lengths 6.221, 6.221, 6.221 Å; angles 138.55, 122.70, 73.15 degrees
Sites, in units of the cell vectors:
K: 0.000 0.000 0.000
K: 0.679 0.179 0.500
Cu: 0.343 0.343 0.000
Si: 0.318 0.818 0.500



## K2CuSi (GGA-PBE)

Data for K2CuSi after structural relaxation.

Calculated values
**D(E_F)**: 2.53 states/eV/f.u.
**Space group**: R-3m, No. 166
**Formation energy without anion corrections**: 0.734 eV per atom

Cell lengths 10.917, 10.917, 10.917 Å; angles 18.21, 18.21, 18.21 degrees
Sites, in units of the cell vectors:
K: 0.248 0.248 0.248
K: 0.752 0.752 0.752
Cu: 0.500 0.500 0.500
Si: 0.000 0.000 0.000



## KCuSi2 (GGA-PBE)

Data for KCuSi2 after structural relaxation.

Calculated values
**D(E_F)**: 1.33 states/eV/f.u.
**Space group**: P4/mmm, No. 123
**Formation energy without anion corrections**: 0.229 eV per atom

Cell lengths 3.302, 3.302, 7.391 Å; angles 90.00, 90.00, 90.00 degrees
Sites, in units of the cell vectors:
K: 0.000 0.000 0.000
Cu: 0.000 0.000 0.500
Si: 0.500 0.500 0.341
Si: 0.500 0.500 0.659



## KCu2Si (GGA-PBE)

Data for KCu2Si after structural relaxation.

Calculated values
**D(E_F)**: 1.07 states/eV/f.u.
**Space group**: P4mm, No. 99
**Formation energy without anion corrections**: 0.275 eV per atom

Cell lengths 3.130, 3.130, 7.739 Å; angles 90.00, 90.00, 90.00 degrees
Sites, in units of the cell vectors:
K: 0.000 0.000 0.000
Cu: 0.000 0.000 0.491
Cu: 0.500 0.500 0.650
Si: 0.500 0.500 0.333



## KCuSi3 (GGA-PBE)

Data for KCuSi3 after structural relaxation.

Calculated values
**D(E_F)**: 3.70 states/eV/f.u.
**Space group**: Pm-3m, No. 221
**Formation energy without anion corrections**: 2.350 eV per atom

Cell lengths 5.344, 5.344, 5.344 Å; angles 90.00, 90.00, 90.00 degrees
Sites, in units of the cell vectors:
K: 0.000 0.000 0.000
Cu: 0.500 0.500 0.500
Si: 0.000 0.000 0.500
Si: 0.000 0.500 0.000
Si: 0.500 0.000 0.000



## KCuSi2 (GGA-PBE)

Data for KCuSi2 after structural relaxation.

Calculated values
**D(E_F)**: 1.09 states/eV/f.u.
**Space group**: Cmmm, No. 65
**Formation energy without anion corrections**: 0.649 eV per atom

Cell lengths 5.743, 5.743, 2.656 Å; angles 90.00, 90.00, 123.19 degrees
Sites, in units of the cell vectors:
K: 0.000 0.000 0.000
Cu: 0.500 0.500 0.000
Si: 0.000 0.500 0.500
Si: 0.500 0.000 0.500



## K2CuSi (GGA-PBE)

Data for K2CuSi after structural relaxation.

Calculated values
**D(E_F)**: 2.91 states/eV/f.u.
**Space group**: Amm2, No. 38
**Formation energy without anion corrections**: 0.096 eV per atom

Cell lengths 4.438, 5.868, 5.868 Å; angles 59.92, 90.00, 90.00 degrees
Sites, in units of the cell vectors:
K: 0.000 0.000 0.000
K: 0.500 0.333 0.333
Cu: 0.500 0.666 0.666
Si: 0.000 0.667 0.667



## KCuSi2 (GGA-PBE)

Data for KCuSi2 after structural relaxation.

Calculated values
**D(E_F)**: 2.02 states/eV/f.u.
**Space group**: Pmm2, No. 25
**Formation energy without anion corrections**: 0.304 eV per atom

Cell lengths 2.964, 3.555, 7.479 Å; angles 90.00, 90.00, 90.00 degrees
Sites, in units of the cell vectors:
K: 0.000 0.000 0.000
Cu: 0.500 0.500 0.649
Si: 0.000 0.000 0.509
Si: 0.500 0.500 0.331



## K2CuSi (GGA-PBE)

Data for K2CuSi after structural relaxation.

Calculated values
**D(E_F)**: 1.15 states/eV/f.u.
**Space group**: P4mm, No. 99
**Formation energy without anion corrections**: 0.265 eV per atom

Cell lengths 3.454, 3.454, 10.028 Å; angles 90.00, 90.00, 90.00 degrees
Sites, in units of the cell vectors:
K: 0.000 0.000 0.000
K: 0.500 0.500 0.411
Cu: 0.500 0.500 0.732
Si: 0.000 0.000 0.669



## KCu2Si (GGA-PBE)

Data for KCu2Si after structural relaxation.

Calculated values
**D(E_F)**: 1.99 states/eV/f.u.
**Space group**: R-3m, No. 166
**Formation energy without anion corrections**: -0.058 eV per atom

Cell lengths 6.413, 6.413, 6.413 Å; angles 37.77, 37.77, 37.77 degrees
Sites, in units of the cell vectors:
K: 0.000 0.000 0.000
Cu: 0.178 0.178 0.178
Cu: 0.822 0.822 0.822
Si: 0.500 0.500 0.500



## K3CuSi (GGA-PBE)

Data for K3CuSi after structural relaxation.

Calculated values
**D(E_F)**: 2.81 states/eV/f.u.
**Space group**: Pm-3m, No. 221
**Formation energy without anion corrections**: 0.628 eV per atom

Cell lengths 6.422, 6.422, 6.422 Å; angles 90.00, 90.00, 90.00 degrees
Sites, in units of the cell vectors:
K: 0.000 0.000 0.500
K: 0.000 0.500 0.000
K: 0.500 0.000 0.000
Cu: 0.500 0.500 0.500
Si: 0.000 0.000 0.000



## K2CuSi (GGA-PBE)

Data for K2CuSi after structural relaxation.

Calculated values
**D(E_F)**: 2.19 states/eV/f.u.
**Space group**: P2/m, No. 10
**Formation energy without anion corrections**: 0.585 eV per atom

Cell lengths 3.649, 5.100, 5.817 Å; angles 90.00, 91.52, 90.00 degrees
Sites, in units of the cell vectors:
K: 0.021 0.000 0.250
K: 0.979 0.000 0.750
Cu: 0.500 0.500 0.500
Si: 0.500 0.500 0.000